Record 1
VASP calculation (PBE) on a geometry-optimized Ti5Pb3N structure.

Cell lengths 5.546, 8.232, 8.232 Å; angles 120.00, 90.00, 90.00 degrees
Positions (direct):
Ti: 0.000 0.333 0.667
Ti: 0.500 0.667 0.333
Ti: 0.000 0.667 0.333
Ti: 0.500 0.333 0.667
Ti: 0.750 0.799 0.000
Ti: 0.750 0.201 0.201
Ti: 0.750 0.000 0.799
Ti: 0.250 0.201 0.000
Ti: 0.250 0.799 0.799
Ti: 0.250 0.000 0.201
Pb: 0.750 0.402 0.000
Pb: 0.750 0.598 0.598
Pb: 0.750 0.000 0.402
Pb: 0.250 0.598 0.000
Pb: 0.250 0.402 0.402
Pb: 0.250 0.000 0.598
N: 0.000 0.000 0.000
N: 0.500 0.000 0.000

Energy relative to the elements, uncorrected: -0.389 eV/atom
Crystal system: hexagonal
Volume: 325.5 Å³/cell
Space group: P6_3/mcm, No. 193
N(E_F): 0.932 states/eV/atom

***

Record 2
VASP calculation (PBE) on a geometry-optimized Ti5PbN structure.

Cell lengths 5.584, 5.584, 9.152 Å; angles 65.80, 65.80, 62.81 degrees
Positions (direct):
Ti: 0.074 0.582 0.086
Ti: 0.074 0.583 0.586
Ti: 0.582 0.074 0.586
Ti: 0.000 0.000 0.250
Ti: 0.417 0.926 0.914
Ti: 0.583 0.074 0.086
Ti: 0.000 0.000 0.750
Ti: 0.418 0.926 0.414
Ti: 0.926 0.417 0.414
Ti: 0.926 0.418 0.914
Pb: 0.500 0.500 0.250
Pb: 0.500 0.500 0.750
N: 0.000 0.000 0.000
N: 0.000 0.000 0.500

Energy relative to the elements, uncorrected: -0.506 eV/atom
Relative energy among the computed polymorphs: 0 meV/atom
Crystal system: orthorhombic
Volume: 222.6 Å³/cell
Space group: Immm, No. 71
N(E_F): 0.666 states/eV/atom